Material: Ti7Cl16
Method: DFT, meta-GGA SCAN
State: single point on PBEsol structure

Values from the calculation:
symmetry	Pnnm, No. 58

Cell: 9.7927 14.1037 6.7323 Å, 90.00 90.00 90.00°
Atoms (fractional coordinates):
Ti 0.0000 0.0000 0.0000
Ti 0.0431 0.2645 0.0000
Ti 0.2505 0.3642 0.2088
Ti 0.2505 0.3642 0.7912
Ti 0.2495 0.8642 0.2912
Ti 0.2495 0.8642 0.7088
Ti 0.4569 0.7645 0.5000
Ti 0.5000 0.5000 0.5000
Ti 0.5431 0.2355 0.5000
Ti 0.7505 0.1358 0.2912
Ti 0.7505 0.1358 0.7088
Ti 0.7495 0.6358 0.2088
Ti 0.7495 0.6358 0.7912
Ti 0.9569 0.7355 0.0000
Cl 0.0101 0.1302 0.2483
Cl 0.0101 0.1302 0.7517
Cl 0.0148 0.3758 0.2502
Cl 0.0148 0.3758 0.7498
Cl 0.2224 0.7303 0.5000
Cl 0.2227 0.7512 0.0000
Cl 0.2373 0.9957 0.5000
Cl 0.2458 0.9829 0.0000
Cl 0.2542 0.4829 0.5000
Cl 0.2627 0.4957 0.0000
Cl 0.2773 0.2512 0.5000
Cl 0.2776 0.2303 0.0000
Cl 0.4852 0.8758 0.2498
Cl 0.4852 0.8758 0.7502
Cl 0.4899 0.6302 0.2517
Cl 0.4899 0.6302 0.7483
Cl 0.5101 0.3698 0.2517
Cl 0.5101 0.3698 0.7483
Cl 0.5148 0.1242 0.2498
Cl 0.5148 0.1242 0.7502
Cl 0.7224 0.7697 0.0000
Cl 0.7227 0.7488 0.5000
Cl 0.7373 0.5043 0.0000
Cl 0.7458 0.5171 0.5000
Cl 0.7542 0.0171 0.0000
Cl 0.7627 0.0043 0.5000
Cl 0.7773 0.2488 0.0000
Cl 0.7776 0.2697 0.5000
Cl 0.9852 0.6242 0.2502
Cl 0.9852 0.6242 0.7498
Cl 0.9899 0.8698 0.2483
Cl 0.9899 0.8698 0.7517

Material: TiCl2
Method: DFT, meta-GGA SCAN
State: single point on PBEsol structure

Values from the calculation:
symmetry	P-3m1, No. 164

Cell: 3.2101 3.2101 6.5522 Å, 90.00 90.00 120.00°
Atoms (fractional coordinates):
Ti 0.0000 0.0000 0.0000
Cl 0.3333 0.6667 0.2435
Cl 0.6667 0.3333 0.7565

no.,uncorrected formation energy (kJ/mol of atoms)
1,-169
2,-152